# 1
# CaHgIBr2, optimized geometry, DFT PBE
# Space-group type: No. 123
data_CaHgIBr2
_cell_length_a 5.5205
_cell_length_b 6.5609
_cell_length_c 5.5205
_cell_angle_alpha 90.00
_cell_angle_beta 90.00
_cell_angle_gamma 90.00
_symmetry_space_group_name_H-M 'P 1'
_symmetry_Int_Tables_number 1
_symmetry_space_group_name_Hall 'P 1'
loop_
_atom_site_label
_atom_site_fract_x
_atom_site_fract_y
_atom_site_fract_z
Br1 0.0000 0.0000 0.5000
Br2 0.5000 0.0000 0.0000
Ca1 0.0000 0.0000 0.0000
Hg1 0.5000 0.5000 0.5000
I1 0.0000 0.5000 0.0000

# 2
# K2CaHgBr6, optimized geometry, DFT PBE
# Space-group type: No. 146
data_K2CaHgBr6
_cell_length_a 7.8939
_cell_length_b 7.8939
_cell_length_c 7.9208
_cell_angle_alpha 60.13
_cell_angle_beta 60.13
_cell_angle_gamma 60.02
_symmetry_space_group_name_H-M 'P 1'
_symmetry_Int_Tables_number 1
_symmetry_space_group_name_Hall 'P 1'
loop_
_atom_site_label
_atom_site_fract_x
_atom_site_fract_y
_atom_site_fract_z
Br1 0.0867 0.4758 0.7774
Br2 0.1640 0.9808 0.2743
Br3 0.4757 0.6602 0.7773
Br4 0.9809 0.5808 0.2743
Br5 0.5809 0.1640 0.2744
Br6 0.6602 0.0867 0.7774
K1 0.5384 0.5383 0.3849
K2 0.0406 0.0408 0.8779
Hg1 0.3168 0.3168 0.0495
Ca1 0.8174 0.8174 0.5477

# 3
# KCaHgBr5, optimized geometry, DFT PBE
# Space-group type: No. 15
data_KCaHgBr5
_cell_length_a 8.0267
_cell_length_b 8.0267
_cell_length_c 10.6022
_cell_angle_alpha 103.92
_cell_angle_beta 103.92
_cell_angle_gamma 106.15
_symmetry_space_group_name_H-M 'P 1'
_symmetry_Int_Tables_number 1
_symmetry_space_group_name_Hall 'P 1'
loop_
_atom_site_label
_atom_site_fract_x
_atom_site_fract_y
_atom_site_fract_z
Br1 0.7335 0.6312 0.4458
Br2 0.6697 0.0877 0.3940
Br3 0.9189 0.0811 0.7500
Br4 0.3688 0.2665 0.0542
Br5 0.9123 0.3303 0.1060
Br6 0.0811 0.9189 0.2500
Br7 0.0877 0.6697 0.8940
Br8 0.2665 0.3688 0.5542
Br9 0.6312 0.7335 0.9458
Br10 0.3303 0.9123 0.6060
Hg1 0.3183 0.6817 0.7500
Hg2 0.6817 0.3183 0.2500
K1 0.6606 0.3394 0.7500
K2 0.3394 0.6606 0.2500
Ca1 0.0000 0.0000 0.0000
Ca2 0.0000 0.0000 0.5000

# 4
# CaHgBr2O, optimized geometry, DFT PBE
# Space-group type: No. 123
data_CaHgBr2O
_cell_length_a 5.8877
_cell_length_b 3.9284
_cell_length_c 5.8877
_cell_angle_alpha 90.00
_cell_angle_beta 90.00
_cell_angle_gamma 90.00
_symmetry_space_group_name_H-M 'P 1'
_symmetry_Int_Tables_number 1
_symmetry_space_group_name_Hall 'P 1'
loop_
_atom_site_label
_atom_site_fract_x
_atom_site_fract_y
_atom_site_fract_z
Ca1 0.5000 0.5000 0.5000
O1 0.0000 0.0000 0.0000
Br1 0.0000 0.0000 0.5000
Br2 0.5000 0.0000 0.0000
Hg1 0.0000 0.5000 0.0000

# 5
# Ca2HgBr2O2, optimized geometry, DFT PBE
# Space-group type: No. 12
data_Ca2HgBr2O2
_cell_length_a 3.8092
_cell_length_b 6.3901
_cell_length_c 6.9848
_cell_angle_alpha 76.58
_cell_angle_beta 74.18
_cell_angle_gamma 72.66
_symmetry_space_group_name_H-M 'P 1'
_symmetry_Int_Tables_number 1
_symmetry_space_group_name_Hall 'P 1'
loop_
_atom_site_label
_atom_site_fract_x
_atom_site_fract_y
_atom_site_fract_z
Ca1 0.8198 0.5829 0.7774
Ca2 0.1802 0.4171 0.2226
Br1 0.4241 0.7710 0.3809
Br2 0.5759 0.2290 0.6191
Hg1 0.0000 0.0000 0.0000
O1 0.8074 0.3149 0.0704
O2 0.1926 0.6851 0.9296

# 6
# CaHg2PbBr, optimized geometry, DFT PBE
# Space-group type: No. 123
data_CaHg2PbBr
_cell_length_a 5.8558
_cell_length_b 5.9202
_cell_length_c 5.8558
_cell_angle_alpha 90.00
_cell_angle_beta 90.00
_cell_angle_gamma 90.00
_symmetry_space_group_name_H-M 'P 1'
_symmetry_Int_Tables_number 1
_symmetry_space_group_name_Hall 'P 1'
loop_
_atom_site_label
_atom_site_fract_x
_atom_site_fract_y
_atom_site_fract_z
Br1 0.0000 0.5000 0.0000
Pb1 0.0000 0.0000 0.0000
Hg1 0.5000 0.0000 0.0000
Hg2 0.0000 0.0000 0.5000
Ca1 0.5000 0.5000 0.5000

# 7
# Rb3CaHg2Br9, optimized geometry, DFT PBE
# Space-group type: No. 164
data_Rb3CaHg2Br9
_cell_length_a 8.0174
_cell_length_b 8.0174
_cell_length_c 9.8298
_cell_angle_alpha 90.00
_cell_angle_beta 90.00
_cell_angle_gamma 120.00
_symmetry_space_group_name_H-M 'P 1'
_symmetry_Int_Tables_number 1
_symmetry_space_group_name_Hall 'P 1'
loop_
_atom_site_label
_atom_site_fract_x
_atom_site_fract_y
_atom_site_fract_z
Br1 0.1680 0.3361 0.3314
Br2 0.5000 0.0000 0.0000
Br3 0.3361 0.1680 0.6686
Br4 0.8320 0.1680 0.6686
Br5 0.6639 0.8320 0.3314
Br6 0.1680 0.8320 0.3314
Br7 0.8320 0.6639 0.6686
Br8 0.5000 0.5000 0.0000
Br9 0.0000 0.5000 0.0000
Rb1 0.6667 0.3333 0.3279
Rb2 0.0000 0.0000 0.0000
Rb3 0.3333 0.6667 0.6721
Ca1 0.0000 0.0000 0.5000
Hg1 0.6667 0.3333 0.8354
Hg2 0.3333 0.6667 0.1646

# 8
# RbCaHgBr5, optimized geometry, DFT PBE
# Space-group type: No. 15
data_RbCaHgBr5
_cell_length_a 8.1363
_cell_length_b 8.1363
_cell_length_c 10.6536
_cell_angle_alpha 103.71
_cell_angle_beta 103.71
_cell_angle_gamma 106.36
_symmetry_space_group_name_H-M 'P 1'
_symmetry_Int_Tables_number 1
_symmetry_space_group_name_Hall 'P 1'
loop_
_atom_site_label
_atom_site_fract_x
_atom_site_fract_y
_atom_site_fract_z
Br1 0.3219 0.9054 0.6008
Br2 0.0946 0.6781 0.8992
Br3 0.7433 0.6292 0.4437
Br4 0.6292 0.7433 0.9437
Br5 0.6781 0.0946 0.3992
Br6 0.9249 0.0751 0.7500
Br7 0.0751 0.9249 0.2500
Br8 0.3708 0.2567 0.0563
Br9 0.2567 0.3708 0.5563
Br10 0.9054 0.3219 0.1008
Hg1 0.3163 0.6837 0.7500
Hg2 0.6837 0.3163 0.2500
Ca1 0.0000 0.0000 0.0000
Ca2 0.0000 0.0000 0.5000
Rb1 0.3394 0.6606 0.2500
Rb2 0.6606 0.3394 0.7500

# 9
# Ca2HgRhBr, optimized geometry, DFT PBE
# Space-group type: No. 123
data_Ca2HgRhBr
_cell_length_a 5.3714
_cell_length_b 5.5762
_cell_length_c 5.3714
_cell_angle_alpha 90.00
_cell_angle_beta 90.00
_cell_angle_gamma 90.00
_symmetry_space_group_name_H-M 'P 1'
_symmetry_Int_Tables_number 1
_symmetry_space_group_name_Hall 'P 1'
loop_
_atom_site_label
_atom_site_fract_x
_atom_site_fract_y
_atom_site_fract_z
Hg1 0.0000 0.5000 0.0000
Ca1 0.0000 0.0000 0.5000
Ca2 0.5000 0.0000 0.0000
Rh1 0.5000 0.5000 0.5000
Br1 0.0000 0.0000 0.0000

# 10
# CaHgSeBr2, optimized geometry, DFT PBE
# Distance to the lowest polymorph of the same formula (meV per atom): 94
# Space-group type: No. 123
data_CaHgSeBr2
_cell_length_a 5.4749
_cell_length_b 5.4749
_cell_length_c 5.3980
_cell_angle_alpha 90.00
_cell_angle_beta 90.00
_cell_angle_gamma 90.00
_symmetry_space_group_name_H-M 'P 1'
_symmetry_Int_Tables_number 1
_symmetry_space_group_name_Hall 'P 1'
loop_
_atom_site_label
_atom_site_fract_x
_atom_site_fract_y
_atom_site_fract_z
Ca1 0.5000 0.5000 0.5000
Hg1 0.0000 0.0000 0.0000
Br1 0.5000 0.0000 0.0000
Br2 0.0000 0.5000 0.0000
Se1 0.0000 0.0000 0.5000

# 11
# CaHgSeBr2, optimized geometry, DFT PBE
# Distance to the lowest polymorph of the same formula (meV per atom): 0
# Space-group type: No. 123
data_CaHgSeBr2
_cell_length_a 5.6186
_cell_length_b 5.6186
_cell_length_c 6.0058
_cell_angle_alpha 90.00
_cell_angle_beta 90.00
_cell_angle_gamma 90.00
_symmetry_space_group_name_H-M 'P 1'
_symmetry_Int_Tables_number 1
_symmetry_space_group_name_Hall 'P 1'
loop_
_atom_site_label
_atom_site_fract_x
_atom_site_fract_y
_atom_site_fract_z
Ca1 0.0000 0.0000 0.0000
Se1 0.0000 0.0000 0.5000
Br1 0.5000 0.0000 0.0000
Br2 0.0000 0.5000 0.0000
Hg1 0.5000 0.5000 0.5000

# 12
# SrCa2HgBr8, optimized geometry, DFT PBE
# Space-group type: No. 10
data_SrCa2HgBr8
_cell_length_a 7.0438
_cell_length_b 6.7354
_cell_length_c 8.7916
_cell_angle_alpha 90.00
_cell_angle_beta 90.00
_cell_angle_gamma 89.30
_symmetry_space_group_name_H-M 'P 1'
_symmetry_Int_Tables_number 1
_symmetry_space_group_name_Hall 'P 1'
loop_
_atom_site_label
_atom_site_fract_x
_atom_site_fract_y
_atom_site_fract_z
Sr1 0.0000 0.0000 0.5000
Br1 0.8407 0.2395 0.2329
Br2 0.6578 0.7394 0.0000
Br3 0.8407 0.2395 0.7671
Br4 0.1593 0.7605 0.7671
Br5 0.3455 0.2771 0.5000
Br6 0.3422 0.2606 0.0000
Br7 0.1593 0.7605 0.2329
Br8 0.6545 0.7229 0.5000
Ca1 0.5000 0.5000 0.7578
Ca2 0.5000 0.5000 0.2422
Hg1 0.0000 0.0000 0.0000

# 13
# CaTl2HgBr6, optimized geometry, DFT PBE
# Space-group type: No. 1
data_CaTl2HgBr6
_cell_length_a 7.9274
_cell_length_b 7.9235
_cell_length_c 7.9402
_cell_angle_alpha 60.08
_cell_angle_beta 60.03
_cell_angle_gamma 59.95
_symmetry_space_group_name_H-M 'P 1'
_symmetry_Int_Tables_number 1
_symmetry_space_group_name_Hall 'P 1'
loop_
_atom_site_label
_atom_site_fract_x
_atom_site_fract_y
_atom_site_fract_z
Br1 0.0893 0.4816 0.7754
Br2 0.4816 0.6537 0.7757
Br3 0.1579 0.9861 0.2705
Br4 0.5847 0.1581 0.2712
Br5 0.9861 0.5851 0.2702
Br6 0.6538 0.0892 0.7759
Tl1 0.5364 0.5366 0.3906
Tl2 0.0397 0.0399 0.8810
Hg1 0.3153 0.3148 0.0548
Ca1 0.8167 0.8166 0.5499

Values of energy relative to the elements, uncorrected, in order: -985.2, -1411.9, -1364.6, -548.7, -1888.8, -101.7, -1247.9, -1374.5, 234.0, -599.6, -693.7, -1615.2, -1049.2, all in meV/atom.